VASP calculation (meta-GGA SCAN) on PrH3O3 at its PBEsol-relaxed geometry.

The space group is P6_3/m (No. 176) and the conventional cell measures 6.4236, 6.4236 and 3.7173 Å, with angles of 90.00, 90.00 and 120.00 degrees. Symmetry generates all atoms from Pr at (0.3333, 0.6667, 0.2500), H at (0.1356, 0.8593, 0.7500) and O at (0.0811, 0.3898, 0.7500).

The value obtained for the energy is -12.426 eV/atom. The density of states at the Fermi level is 0.0000 states/eV per atom.